Entry 1:
Crystalline LuCuOs2 at its relaxed geometry, computed with PBE-GGA.

Results
**Spin magnetization**: 0.01 μB per cell
**Calculated volume**: 15.9 A^3/atom
**Space-group type**: No. 216
**E**: -7.49 eV/atom

Cell: 4.4777 4.4777 4.4777 Å, 60.00 60.00 60.00°
Fractional coordinates of all 4 atoms:
1 Os 0.7500 0.7500 0.7500
2 Os 0.0000 0.0000 0.0000
3 Lu 0.5000 0.5000 0.5000
4 Cu 0.2500 0.2500 0.2500

Entry 2:
Crystalline LuCuOsPb at its relaxed geometry, computed with PBE-GGA.

Results
**Energy relative to the lowest polymorph listed for this composition**: 0.000 eV/atom
**Spin magnetization**: 0.00 μB per cell
**Calculated volume**: 18.7 A^3/atom
**Space-group type**: No. 216

Cell: 4.7301 4.7301 4.7301 Å, 60.00 60.00 60.00°
Fractional coordinates of all 4 atoms:
1 Os 0.2500 0.2500 0.2500
2 Lu 0.5000 0.5000 0.5000
3 Cu 0.7500 0.7500 0.7500
4 Pb 0.0000 0.0000 0.0000

Entry 3:
Crystalline LuCuOsPb at its relaxed geometry, computed with PBE-GGA.

Results
**Energy relative to the lowest polymorph listed for this composition**: 0.253 eV/atom
**Spin magnetization**: 0.01 μB per cell
**Calculated volume**: 19.0 A^3/atom
**Space-group type**: No. 216

Cell: 4.7544 4.7544 4.7544 Å, 60.00 60.00 60.00°
Fractional coordinates of all 4 atoms:
1 Cu 0.7500 0.7500 0.7500
2 Pb 0.0000 0.0000 0.0000
3 Lu 0.2500 0.2500 0.2500
4 Os 0.5000 0.5000 0.5000

Entry 4:
Crystalline LuCuSbOs at its relaxed geometry, computed with PBE-GGA.

Results
**Energy relative to the lowest polymorph listed for this composition**: 0.341 eV/atom
**Spin magnetization**: 0.06 μB per cell
**Calculated volume**: 18.4 A^3/atom
**Space-group type**: No. 216

Cell: 4.7020 4.7020 4.7020 Å, 60.00 60.00 60.00°
Fractional coordinates of all 4 atoms:
1 Sb 0.0000 0.0000 0.0000
2 Cu 0.7500 0.7500 0.7500
3 Os 0.5000 0.5000 0.5000
4 Lu 0.2500 0.2500 0.2500

Entry 5:
Crystalline LuCuSbOs at its relaxed geometry, computed with PBE-GGA.

Results
**Energy relative to the lowest polymorph listed for this composition**: 0.000 eV/atom
**Spin magnetization**: 0.01 μB per cell
**Calculated volume**: 17.8 A^3/atom
**Space-group type**: No. 216

Cell: 4.6505 4.6505 4.6505 Å, 60.00 60.00 60.00°
Fractional coordinates of all 4 atoms:
1 Os 0.2500 0.2500 0.2500
2 Lu 0.5000 0.5000 0.5000
3 Cu 0.7500 0.7500 0.7500
4 Sb 0.0000 0.0000 0.0000

Entry 6:
Crystalline LuCuSnOs at its relaxed geometry, computed with PBE-GGA.

Results
**Energy relative to the lowest polymorph listed for this composition**: 0.000 eV/atom
**Spin magnetization**: 0.00 μB per cell
**Calculated volume**: 17.8 A^3/atom
**Space-group type**: No. 216

Cell: 4.6511 4.6511 4.6511 Å, 60.00 60.00 60.00°
Fractional coordinates of all 4 atoms:
1 Os 0.2500 0.2500 0.2500
2 Lu 0.5000 0.5000 0.5000
3 Sn 0.0000 0.0000 0.0000
4 Cu 0.7500 0.7500 0.7500

Entry 7:
Crystalline LuCuSnOs at its relaxed geometry, computed with PBE-GGA.

Results
**Energy relative to the lowest polymorph listed for this composition**: 0.358 eV/atom
**Spin magnetization**: 0.01 μB per cell
**Calculated volume**: 18.3 A^3/atom
**Space-group type**: No. 216

Cell: 4.6952 4.6952 4.6952 Å, 60.00 60.00 60.00°
Fractional coordinates of all 4 atoms:
1 Os 0.5000 0.5000 0.5000
2 Cu 0.7500 0.7500 0.7500
3 Sn 0.0000 0.0000 0.0000
4 Lu 0.2500 0.2500 0.2500

Entry 8:
Crystalline LuCuTeOs at its relaxed geometry, computed with PBE-GGA.

Results
**Energy relative to the lowest polymorph listed for this composition**: 0.268 eV/atom
**Spin magnetization**: 0.01 μB per cell
**Calculated volume**: 18.9 A^3/atom
**Space-group type**: No. 216

Cell: 4.7473 4.7473 4.7473 Å, 60.00 60.00 60.00°
Fractional coordinates of all 4 atoms:
1 Os 0.0000 0.0000 0.0000
2 Lu 0.2500 0.2500 0.2500
3 Te 0.5000 0.5000 0.5000
4 Cu 0.7500 0.7500 0.7500